This record from Alexandria describes a relaxed structure of HoScGe2. The functional is PBE.

Lattice parameters (Å, degrees): 4.152 3.879 5.606 90.00 111.74 90.00
Fractional positions:
Ge1 0.170 0.500 0.879
Ge2 0.994 0.000 0.528
Ho1 0.720 0.000 0.980
Sc1 0.446 0.500 0.432

ΔE_f	-0.83	eV/atom
space-group type	Amm2 (38)
VASP energy	-5.862	eV/atom
density of states at the Fermi level	2.7	states/eV/f.u.
ρ	7.03	g/cm³
energy above the most stable polymorph in this dataset	0.0	meV per atom
magnetization	0.0	μB/cell

This record from Alexandria describes a relaxed structure of La2Dy2YCd5. The functional is PBE.

Lattice parameters (Å, degrees): 4.797 10.735 10.735 90.00 90.00 90.00
Fractional positions:
La1 0.000 0.675 0.175
La2 0.000 0.325 0.825
La3 0.000 0.825 0.675
La4 0.000 0.175 0.325
Cd1 0.500 0.067 0.805
Cd2 0.500 0.305 0.567
Cd3 0.500 0.000 0.500
Cd4 0.500 0.933 0.195
Cd5 0.500 0.500 0.000
Cd6 0.500 0.805 0.933
Cd7 0.500 0.195 0.067
Cd8 0.500 0.433 0.305
Cd9 0.500 0.695 0.433
Cd10 0.500 0.567 0.695
Y1 0.000 0.500 0.500
Y2 0.000 0.000 0.000
Dy1 0.000 0.624 0.876
Dy2 0.000 0.876 0.376
Dy3 0.000 0.124 0.624
Dy4 0.000 0.376 0.124

ΔE_f	-0.22	eV/atom
space-group type	P4/mbm (127)
VASP energy	-3.228	eV/atom
density of states at the Fermi level	7.2	states/eV/f.u.
ρ	7.53	g/cm³
magnetization	0.0	μB/cell